[1]
This record from Alexandria describes a relaxed RbTl2WBr8 crystal. The functional is GGA-PBE. Values from VASP.

Geometry as Quantum ESPRESSO input:
```
&SYSTEM
  ibrav = 0, nat = 12, ntyp = 4
/
ATOMIC_SPECIES
Rb 85.47 Rb.upf
Tl 204.38 Tl.upf
W 183.84 W.upf
Br 79.90 Br.upf
CELL_PARAMETERS angstrom
6.5489 0.0000 0.0000
-2.9591 7.4367 0.0000
-0.0046 -0.0055 9.6966
ATOMIC_POSITIONS crystal
Rb 0.0000 0.0000 0.0000
Tl 0.0015 0.5004 0.2351
Tl 0.9985 0.4996 0.7649
W 0.0000 0.0000 0.5000
Br 0.2324 0.8148 0.5007
Br 0.2423 0.2042 0.6838
Br 0.2431 0.2034 0.3165
Br 0.2900 0.7153 0.9994
Br 0.7100 0.2847 0.0006
Br 0.7569 0.7966 0.6835
Br 0.7577 0.7958 0.3162
Br 0.7676 0.1852 0.4993
```

Computed properties:
The space group is P-1, No. 2. The total energy is -3.46 eV per atom. The density of states at the Fermi level comes out at 0.49 states/eV per atom.

[2]
This record from Alexandria describes a relaxed RbYTl2Br6 crystal. The functional is GGA-PBE. Values from VASP.

Geometry as Quantum ESPRESSO input:
```
&SYSTEM
  ibrav = 0, nat = 10, ntyp = 4
/
ATOMIC_SPECIES
Rb 85.47 Rb.upf
Y 88.91 Y.upf
Tl 204.38 Tl.upf
Br 79.90 Br.upf
CELL_PARAMETERS angstrom
4.1099 2.3729 7.1100
-4.1099 2.3729 7.1100
0.0000 -4.7458 7.1100
ATOMIC_POSITIONS crystal
Rb 0.0000 0.0000 0.0000
Y 0.5102 0.5102 0.5102
Tl 0.2021 0.2021 0.2021
Tl 0.7124 0.7124 0.7124
Br 0.1714 0.4014 0.7441
Br 0.3208 0.8610 0.5985
Br 0.4014 0.7441 0.1714
Br 0.5985 0.3208 0.8610
Br 0.7441 0.1714 0.4014
Br 0.8610 0.5985 0.3208
```

Computed properties:
The space group is R3, No. 146. The total energy is -3.69 eV per atom. The density of states at the Fermi level comes out at 0.00 states/eV per atom.

[3]
This record from Alexandria describes a relaxed Rb2YTlBr6 crystal. The functional is GGA-PBE. Values from VASP.

Geometry as Quantum ESPRESSO input:
```
&SYSTEM
  ibrav = 0, nat = 20, ntyp = 4
/
ATOMIC_SPECIES
Rb 85.47 Rb.upf
Y 88.91 Y.upf
Tl 204.38 Tl.upf
Br 79.90 Br.upf
CELL_PARAMETERS angstrom
8.0544 0.0000 0.0000
0.0000 8.5651 0.0000
-7.9476 0.0000 11.6082
ATOMIC_POSITIONS crystal
Rb 0.2204 0.0771 0.2487
Rb 0.2204 0.4229 0.7487
Rb 0.7796 0.5771 0.2513
Rb 0.7796 0.9229 0.7513
Y 0.5000 0.0000 0.0000
Y 0.5000 0.5000 0.5000
Tl 0.0000 0.0000 0.5000
Tl 0.0000 0.5000 0.0000
Br 0.1627 0.1773 0.9469
Br 0.1627 0.3227 0.4469
Br 0.2689 0.7232 0.9375
Br 0.2689 0.7768 0.4375
Br 0.3861 0.0384 0.7717
Br 0.3861 0.4616 0.2717
Br 0.6139 0.5384 0.7283
Br 0.6139 0.9616 0.2283
Br 0.7311 0.2232 0.5625
Br 0.7311 0.2768 0.0625
Br 0.8373 0.6773 0.5531
Br 0.8373 0.8227 0.0531
```

Computed properties:
The space group is P2_1/c, No. 14. The value obtained for the excess energy over the best structure of this formula in the dataset is 0.000 eV/atom. The density of states at the Fermi level comes out at 0.00 states/eV per atom.

[4]
This record from Alexandria describes a relaxed Rb2YTlBr6 crystal. The functional is GGA-PBE. Values from VASP.

Geometry as Quantum ESPRESSO input:
```
&SYSTEM
  ibrav = 0, nat = 10, ntyp = 4
/
ATOMIC_SPECIES
Rb 85.47 Rb.upf
Y 88.91 Y.upf
Tl 204.38 Tl.upf
Br 79.90 Br.upf
CELL_PARAMETERS angstrom
0.0000 5.9855 5.9855
5.9855 0.0000 5.9855
5.9855 5.9855 0.0000
ATOMIC_POSITIONS crystal
Rb 0.2500 0.2500 0.2500
Rb 0.7500 0.7500 0.7500
Y 0.0000 0.0000 0.0000
Tl 0.5000 0.5000 0.5000
Br 0.2335 0.2335 0.7665
Br 0.2335 0.7665 0.2335
Br 0.2335 0.7665 0.7665
Br 0.7665 0.2335 0.2335
Br 0.7665 0.2335 0.7665
Br 0.7665 0.7665 0.2335
```

Computed properties:
The space group is Fm-3m, No. 225. The value obtained for the excess energy over the best structure of this formula in the dataset is 0.052 eV/atom. The density of states at the Fermi level comes out at 0.00 states/eV per atom.